VASP calculation (PBE) on an optimized crystal structure of Zr3IrRu.

Structure (CIF):
```
data_Zr3IrRu
_chemical_formula_sum 'Zr3 Ir1 Ru1'
_cell_length_a 4.899
_cell_length_b 4.899
_cell_length_c 4.899
_cell_angle_alpha 90.00
_cell_angle_beta 90.00
_cell_angle_gamma 90.00
_symmetry_space_group_name_H-M 'P 1'
_symmetry_Int_Tables_number 1
_symmetry_space_group_name_Hall 'P 1'
loop_
_atom_site_label
_atom_site_fract_x
_atom_site_fract_y
_atom_site_fract_z
Ru1 0.000 0.000 0.000
Ir1 0.500 0.500 0.500
Zr1 0.000 0.500 0.000
Zr2 0.000 0.000 0.500
Zr3 0.500 0.000 0.000
```

Results
**Symmetry**: No. 221
**Total energy**: -41.150 eV for the cell shown
**Energy relative to the elements**: 0.526 eV per atom